No. 1
Below is a relaxed structure of YCrAs2, with properties calculated at the PBE-GGA level.

a = 4.670 Å, b = 4.670 Å, c = 4.670 Å
α = 60.00°, β = 60.00°, γ = 60.00°
Fractional coordinates of all 4 atoms:
Y 0.000 0.000 0.000
Cr 0.500 0.500 0.500
As 0.250 0.250 0.250
As 0.750 0.750 0.750

M_tot (μB per cell): 0.001
Energy relative to the lowest polymorph listed for this composition (kJ/mol of atoms): 51.72


No. 2
Below is a relaxed structure of Ba2AlCdHg6, with properties calculated at the PBE-GGA level.

a = 6.359 Å, b = 7.242 Å, c = 7.657 Å
α = 77.55°, β = 71.19°, γ = 68.47°
Fractional coordinates of all 10 atoms:
Ba 0.207 0.242 0.291
Ba 0.793 0.758 0.709
Al 0.000 0.000 0.000
Cd 0.500 0.500 0.500
Hg 0.202 0.766 0.275
Hg 0.284 0.612 0.896
Hg 0.297 0.203 0.774
Hg 0.703 0.797 0.226
Hg 0.716 0.388 0.104
Hg 0.798 0.234 0.725

M_tot (μB per cell): 0.000


Energy of formation from the pure elements (eV/atom)
-0.25 -0.26